This record from Alexandria describes an optimized crystal structure of NdGdThSc. The functional is PBE.

Output
formation energy: 0.50 eV per formula unit

Lattice parameters (Å, degrees): 5.595 5.595 5.595 60.00 60.00 60.00
Each line ends with the local moment (μB).
Element x y z (fractional)
Gd1 0.500 0.500 0.500  7.19
Nd1 0.750 0.750 0.750  0.01
Sc1 0.000 0.000 0.000  -0.09
Th1 0.250 0.250 0.250  0.03

***

This record from Alexandria describes an optimized crystal structure of NdGdScZn. The functional is PBE.

Output
formation energy: -0.06 eV per formula unit

Lattice parameters (Å, degrees): 5.297 5.297 5.297 60.00 60.00 60.00
Each line ends with the local moment (μB).
Element x y z (fractional)
Gd1 0.500 0.500 0.500  7.14
Sc1 0.750 0.750 0.750  0.10
Zn1 0.250 0.250 0.250  -0.01
Nd1 0.000 0.000 0.000  0.02

***

This record from Alexandria describes an optimized crystal structure of NdGdSe2. The functional is PBE.

Output
uncorrected formation energy: -1.86 eV/atom

Lattice parameters (Å, degrees): 4.179 4.179 7.248 73.25 73.25 60.00
Each line ends with the local moment (μB).
Element x y z (fractional)
Nd1 0.000 0.000 0.000  -0.06
Gd1 0.500 0.500 0.500  6.89
Se1 0.753 0.753 0.740  -0.01
Se2 0.247 0.247 0.260  -0.01

***

This record from Alexandria describes an optimized crystal structure of NdGdSe. The functional is PBE.

Output
uncorrected formation energy: -1.14 eV/atom

Lattice parameters (Å, degrees): 3.970 3.970 6.661 90.00 90.00 120.00
Each line ends with the local moment (μB).
Element x y z (fractional)
Nd1 0.000 0.000 0.052  0.21
Gd1 0.333 0.667 0.609  7.29
Se1 0.667 0.333 0.340  0.00

***

This record from Alexandria describes an optimized crystal structure of Nd2GdSi. The functional is PBE.

Output
excess energy over the best structure of this formula in the dataset: 299 meV per atom
uncorrected formation energy: 0.04 eV/atom

Lattice parameters (Å, degrees): 3.732 3.732 11.121 80.34 80.34 60.00
Each line ends with the local moment (μB).
Element x y z (fractional)
Nd1 0.893 0.893 0.321  0.03
Nd2 0.107 0.107 0.679  0.03
Gd1 0.000 0.000 0.000  7.33
Si1 0.500 0.500 0.500  0.01

***

This record from Alexandria describes an optimized crystal structure of NdGdSi2. The functional is PBE.

Output
uncorrected formation energy: -0.47 eV/atom

Lattice parameters (Å, degrees): 4.693 4.693 5.862 66.40 66.40 60.00
Each line ends with the local moment (μB).
Element x y z (fractional)
Nd1 0.500 0.500 0.500  0.02
Gd1 0.000 0.000 0.000  7.02
Si1 0.743 0.743 0.770  -0.02
Si2 0.257 0.257 0.230  -0.02

***

Computed D(E_F), in the same sequence as the records: 1.93; 1.27; 0.57; 1.07; 2.04; 0.62 states/eV per atom.